A relaxed structure of TbNd3Pt2. Source: Alexandria, functional PBE.

Lattice parameters (Å, degrees): 4.8921 9.1205 7.3385 90.00 90.00 90.00
Space group Pmc2_1 (No. 26)
One atom of each set of equivalent atoms:
Tb  0.0000  0.0863  0.0000
Nd  0.0000  0.3344  0.6391
Nd  0.5000  0.1605  0.3500
Nd  0.5000  0.4143  0.9893
Pt  0.0000  0.3358  0.2332
Pt  0.5000  0.1571  0.7587

Calculated values
- Volume: 27.29 A^3/atom
- Total DFT energy (no corrections): -5.998 eV/atom